Zn2Cd2Au: optimized geometry, GGA-PBE.

The structure in extended XYZ format:
```
10
Lattice="7.342 0.000 0.000 0.000 7.342 0.000 0.000 0.000 3.732" Properties=species:S:1:pos:R:3 pbc="T T T"
Zn 1.118 2.553 0.000
Zn 2.553 6.224 0.000
Zn 4.789 1.118 0.000
Zn 6.224 4.789 0.000
Cd 1.081 4.752 1.866
Cd 2.590 1.081 1.866
Cd 4.752 6.261 1.866
Cd 6.261 2.590 1.866
Au 0.000 0.000 1.866
Au 3.671 3.671 1.866
```

Summary:
Space group   P4/mbm, No. 127
Energy   -14.056 eV for the cell shown

GdMnGa3: optimized geometry, GGA-PBE.

The structure in extended XYZ format:
```
5
Lattice="4.588 0.000 0.000 0.000 4.588 0.000 0.000 0.000 4.588" Properties=species:S:1:pos:R:3 pbc="T T T"
Gd 0.000 0.000 0.000
Mn 2.294 2.294 2.294
Ga 0.000 2.294 2.294
Ga 2.294 0.000 2.294
Ga 2.294 2.294 0.000
```

Summary:
Space group   Pm-3m, No. 221
Energy   -33.832 eV for the cell shown

Nd2Y8Er3: optimized geometry, GGA-PBE.

The structure in extended XYZ format:
```
26
Lattice="11.744 0.000 0.000 0.000 20.728 0.000 0.000 0.000 3.525" Properties=species:S:1:pos:R:3 pbc="T T T"
Nd 2.096 2.062 0.000
Nd 3.776 12.426 0.000
Nd 7.969 8.302 0.000
Nd 9.648 18.666 0.000
Y 0.542 11.851 0.000
Y 0.645 17.439 1.762
Y 1.512 5.929 0.000
Y 2.447 9.272 1.762
Y 3.425 19.636 1.762
Y 4.360 16.293 0.000
Y 5.227 7.075 1.762
Y 5.330 1.487 0.000
Y 6.415 19.241 0.000
Y 6.517 13.654 1.762
Y 7.384 4.435 0.000
Y 8.319 1.092 1.762
Y 9.297 11.457 1.762
Y 10.232 14.800 0.000
Y 11.100 3.290 1.762
Y 11.202 8.877 0.000
Er 0.000 0.000 1.762
Er 1.707 14.530 1.762
Er 4.165 4.166 1.762
Er 5.872 10.364 1.762
Er 7.579 16.563 1.762
Er 10.037 6.199 1.762
```

Summary:
Space group   Pbam, No. 55
Energy   -146.063 eV for the cell shown

CaBe2Cu9: optimized geometry, GGA-PBE.

The structure in extended XYZ format:
```
24
Lattice="-4.948 4.948 3.169 4.948 -4.948 3.169 4.948 4.948 -3.169" Properties=species:S:1:pos:R:3 pbc="T T T"
Ca 4.948 2.474 0.792
Ca 0.000 2.474 2.376
Be 0.000 0.000 0.000
Be 2.474 2.474 -1.584
Be 2.474 -2.474 1.584
Be 0.000 4.948 0.000
Cu 4.948 -2.474 2.376
Cu 3.733 -0.470 1.215
Cu 6.163 -0.470 1.215
Cu 2.003 1.259 0.370
Cu 7.892 1.259 0.370
Cu 3.733 4.477 -1.215
Cu 1.215 -0.470 1.954
Cu 2.003 3.689 0.370
Cu 2.944 -1.259 3.538
Cu 2.003 6.206 -0.370
Cu 2.944 1.259 2.799
Cu 3.733 5.418 1.215
Cu 1.215 0.470 4.383
Cu -2.944 3.689 2.799
Cu 2.944 3.689 2.799
Cu -1.215 5.418 1.954
Cu 1.215 5.418 1.954
Cu 0.000 7.422 0.792
```

Summary:
Space group   I4_1/amd, No. 141
Energy   -94.414 eV for the cell shown

ZrTaNi2: optimized geometry, GGA-PBE.

The structure in extended XYZ format:
```
12
Lattice="3.097 0.000 0.000 -1.549 2.682 0.000 0.000 0.000 23.738" Properties=species:S:1:pos:R:3 pbc="T T T"
Zr 0.000 0.000 0.000
Zr 0.000 1.788 15.825
Zr 1.549 0.894 7.913
Ta 0.000 0.000 5.471
Ta 0.000 1.788 21.296
Ta 1.549 0.894 13.383
Ni 0.000 0.000 11.580
Ni 0.000 0.000 17.765
Ni 0.000 1.788 3.668
Ni 0.000 1.788 9.853
Ni 1.549 0.894 1.940
Ni 1.549 0.894 19.493
```

Summary:
Space group   R3m, No. 160
Energy   -94.062 eV for the cell shown

ReAgP2: optimized geometry, GGA-PBE.

The structure in extended XYZ format:
```
12
Lattice="3.021 0.000 0.000 -1.511 2.616 0.000 0.000 0.000 23.104" Properties=species:S:1:pos:R:3 pbc="T T T"
Re 0.000 0.000 0.000
Re 0.000 1.744 15.403
Re 1.511 0.872 7.701
Ag 0.000 0.000 5.294
Ag 0.000 1.744 20.697
Ag 1.511 0.872 12.996
P 0.000 0.000 10.974
P 0.000 0.000 17.011
P 0.000 1.744 3.273
P 0.000 1.744 9.310
P 1.511 0.872 1.608
P 1.511 0.872 18.676
```

Summary:
Space group   R3m, No. 160
Energy   -74.232 eV for the cell shown